Here is SrIn2Sn2 after structural relaxation from the Alexandria database. Energies are from GGA-PBE.

Output
ρ = 5.9 g/cm³
calculated volume = 31.388 Å³/atom
space group = No. 139
D(E_F) = 0.56 states/eV/atom
crystal system = tetragonal
M_tot = 0.00 μB per formula unit
calculated total energy = -3.27 eV/atom

a = 4.6965 Å, b = 4.6965 Å, c = 7.8519 Å
α = 72.60°, β = 72.60°, γ = 90.00°
Positions (direct):
1 Sn 0.6060 0.6060 0.7880
2 Sn 0.3940 0.3940 0.2120
3 In 0.2500 0.7500 0.5000
4 Sr 0.0000 0.0000 0.0000
5 In 0.7500 0.2500 0.5000